# LuMnSi2, optimized geometry, DFT PBE-GGA
data_LuMnSi2
_chemical_formula_sum 'Lu1 Mn1 Si2'
_space_group_name_H-M_alt 'P 1'
_space_group_IT_number 1
_cell_length_a 3.9352
_cell_length_b 3.9352
_cell_length_c 5.2891
_cell_angle_alpha 68.16
_cell_angle_beta 68.16
_cell_angle_gamma 60.00
loop_
_space_group_symop_operation_xyz
'x,y,z'
loop_
_atom_site_label
_atom_site_type_symbol
_atom_site_fract_x
_atom_site_fract_y
_atom_site_fract_z
_atom_site_occupancy
Si1 Si 0.7092 0.7092 0.8725 1
Si2 Si 0.2908 0.2908 0.1275 1
Lu1 Lu 0.5000 0.5000 0.5000 1
Mn1 Mn 0.0000 0.0000 0.0000 1
# - SG = R-3m
# - formation energy (no corrections) (eV/atom) = -0.5185

# LuMn2Si2, optimized geometry, DFT PBE-GGA
data_LuMn2Si2
_chemical_formula_sum 'Lu1 Mn2 Si2'
_space_group_name_H-M_alt 'P 1'
_space_group_IT_number 1
_cell_length_a 3.8477
_cell_length_b 3.8477
_cell_length_c 5.8070
_cell_angle_alpha 109.38
_cell_angle_beta 109.38
_cell_angle_gamma 90.00
loop_
_space_group_symop_operation_xyz
'x,y,z'
loop_
_atom_site_label
_atom_site_type_symbol
_atom_site_fract_x
_atom_site_fract_y
_atom_site_fract_z
_atom_site_occupancy
Si1 Si 0.6181 0.6181 0.2359 1
Si2 Si 0.3819 0.3819 0.7641 1
Lu1 Lu 0.0000 0.0000 0.0000 1
Mn1 Mn 0.2503 0.7497 0.5000 1
Mn2 Mn 0.7497 0.2503 0.5000 1
# - SG = I4/mmm
# - formation energy (no corrections) (eV/atom) = -0.6177

# Lu2Mn3Si5, optimized geometry, DFT PBE-GGA
data_Lu2Mn3Si5
_chemical_formula_sum 'Lu8 Mn12 Si20'
_space_group_name_H-M_alt 'P 1'
_space_group_IT_number 1
_cell_length_a 5.3337
_cell_length_b 10.4966
_cell_length_c 10.4966
_cell_angle_alpha 90.00
_cell_angle_beta 90.00
_cell_angle_gamma 90.00
loop_
_space_group_symop_operation_xyz
'x,y,z'
loop_
_atom_site_label
_atom_site_type_symbol
_atom_site_fract_x
_atom_site_fract_y
_atom_site_fract_z
_atom_site_occupancy
Lu1 Lu 0.5000 0.5763 0.7361 1
Lu2 Lu 0.5000 0.4237 0.2639 1
Lu3 Lu 0.0000 0.0763 0.7639 1
Lu4 Lu 0.0000 0.9237 0.2361 1
Lu5 Lu 0.5000 0.2639 0.5763 1
Lu6 Lu 0.5000 0.7361 0.4237 1
Lu7 Lu 0.0000 0.2361 0.0763 1
Lu8 Lu 0.0000 0.7639 0.9237 1
Mn1 Mn 0.5000 0.8788 0.8545 1
Mn2 Mn 0.5000 0.1212 0.1455 1
Mn3 Mn 0.0000 0.3788 0.6455 1
Mn4 Mn 0.0000 0.6212 0.3545 1
Mn5 Mn 0.5000 0.1455 0.8788 1
Mn6 Mn 0.5000 0.8545 0.1212 1
Mn7 Mn 0.0000 0.3545 0.3788 1
Mn8 Mn 0.0000 0.6455 0.6212 1
Mn9 Mn 0.2500 0.5000 0.0000 1
Mn10 Mn 0.7500 0.0000 0.5000 1
Mn11 Mn 0.2500 0.0000 0.5000 1
Mn12 Mn 0.7500 0.5000 0.0000 1
Si1 Si 0.2500 0.6746 0.1746 1
Si2 Si 0.2500 0.3254 0.8254 1
Si3 Si 0.7500 0.1746 0.3254 1
Si4 Si 0.7500 0.8254 0.6746 1
Si5 Si 0.2500 0.8254 0.6746 1
Si6 Si 0.2500 0.1746 0.3254 1
Si7 Si 0.7500 0.6746 0.1746 1
Si8 Si 0.7500 0.3254 0.8254 1
Si9 Si 0.2486 0.5000 0.5000 1
Si10 Si 0.7486 0.0000 0.0000 1
Si11 Si 0.7514 0.5000 0.5000 1
Si12 Si 0.2514 0.0000 0.0000 1
Si13 Si 0.5000 0.6857 0.9737 1
Si14 Si 0.5000 0.3143 0.0263 1
Si15 Si 0.0000 0.1857 0.5263 1
Si16 Si 0.0000 0.8143 0.4737 1
Si17 Si 0.5000 0.0263 0.6857 1
Si18 Si 0.5000 0.9737 0.3143 1
Si19 Si 0.0000 0.4737 0.1857 1
Si20 Si 0.0000 0.5263 0.8143 1
# - SG = P4/mnc
# - formation energy (no corrections) (eV/atom) = -0.6243

# LuMnSi, optimized geometry, DFT PBE-GGA
data_LuMnSi
_chemical_formula_sum 'Lu4 Mn4 Si4'
_space_group_name_H-M_alt 'P 1'
_space_group_IT_number 1
_cell_length_a 4.0162
_cell_length_b 6.7915
_cell_length_c 7.4985
_cell_angle_alpha 90.00
_cell_angle_beta 90.00
_cell_angle_gamma 90.00
loop_
_space_group_symop_operation_xyz
'x,y,z'
loop_
_atom_site_label
_atom_site_type_symbol
_atom_site_fract_x
_atom_site_fract_y
_atom_site_fract_z
_atom_site_occupancy
Lu1 Lu 0.2500 0.5123 0.1860 1
Lu2 Lu 0.7500 0.4877 0.8140 1
Lu3 Lu 0.2500 0.0123 0.3140 1
Lu4 Lu 0.7500 0.9877 0.6860 1
Mn1 Mn 0.7500 0.8584 0.0593 1
Mn2 Mn 0.2500 0.1416 0.9407 1
Mn3 Mn 0.7500 0.3584 0.4407 1
Mn4 Mn 0.2500 0.6416 0.5593 1
Si1 Si 0.2500 0.7855 0.8867 1
Si2 Si 0.7500 0.2145 0.1133 1
Si3 Si 0.2500 0.2855 0.6133 1
Si4 Si 0.7500 0.7145 0.3867 1
# - SG = Pnma
# - formation energy (no corrections) (eV/atom) = -0.5473

# SmLuMn4, optimized geometry, DFT PBE-GGA
data_SmLuMn4
_chemical_formula_sum 'Sm1 Lu1 Mn4'
_space_group_name_H-M_alt 'P 1'
_space_group_IT_number 1
_cell_length_a 5.1021
_cell_length_b 5.1021
_cell_length_c 5.1021
_cell_angle_alpha 60.00
_cell_angle_beta 60.00
_cell_angle_gamma 60.00
loop_
_space_group_symop_operation_xyz
'x,y,z'
loop_
_atom_site_label
_atom_site_type_symbol
_atom_site_fract_x
_atom_site_fract_y
_atom_site_fract_z
_atom_site_occupancy
Mn1 Mn 0.6253 0.6253 0.1242 1
Mn2 Mn 0.6253 0.1242 0.6253 1
Mn3 Mn 0.6253 0.6253 0.6253 1
Mn4 Mn 0.1242 0.6253 0.6253 1
Lu1 Lu 0.0000 0.0000 0.0000 1
Sm1 Sm 0.2500 0.2500 0.2500 1
# - ΔH_f (0 K) (eV/f.u.) = 1.0
# - SG = F-43m

# SmLu2Mn, optimized geometry, DFT PBE-GGA
data_SmLu2Mn
_chemical_formula_sum 'Sm1 Lu2 Mn1'
_space_group_name_H-M_alt 'P 1'
_space_group_IT_number 1
_cell_length_a 3.3656
_cell_length_b 3.3656
_cell_length_c 11.3624
_cell_angle_alpha 81.48
_cell_angle_beta 81.48
_cell_angle_gamma 60.00
loop_
_space_group_symop_operation_xyz
'x,y,z'
loop_
_atom_site_label
_atom_site_type_symbol
_atom_site_fract_x
_atom_site_fract_y
_atom_site_fract_z
_atom_site_occupancy
Mn1 Mn 0.0000 0.0000 0.0000 1
Lu1 Lu 0.0810 0.0810 0.7571 1
Lu2 Lu 0.9190 0.9190 0.2429 1
Sm1 Sm 0.5000 0.5000 0.5000 1
# - offset from the most stable computed form (kJ/mol of atoms) = 40.93
# - ΔH_f (0 K) (eV/f.u.) = 2.1
# - SG = R-3m

# SmLu3Mn, optimized geometry, DFT PBE-GGA
data_SmLu3Mn
_chemical_formula_sum 'Sm1 Lu3 Mn1'
_space_group_name_H-M_alt 'P 1'
_space_group_IT_number 1
_cell_length_a 5.2097
_cell_length_b 5.2097
_cell_length_c 5.2097
_cell_angle_alpha 90.00
_cell_angle_beta 90.00
_cell_angle_gamma 90.00
loop_
_space_group_symop_operation_xyz
'x,y,z'
loop_
_atom_site_label
_atom_site_type_symbol
_atom_site_fract_x
_atom_site_fract_y
_atom_site_fract_z
_atom_site_occupancy
Mn1 Mn 0.0000 0.0000 0.0000 1
Lu1 Lu 0.0000 0.5000 0.0000 1
Lu2 Lu 0.0000 0.0000 0.5000 1
Lu3 Lu 0.5000 0.0000 0.0000 1
Sm1 Sm 0.5000 0.5000 0.5000 1
# - ΔH_f (0 K) (eV/f.u.) = 1.0
# - SG = Pm-3m

# SmLu2Mn, optimized geometry, DFT PBE-GGA
data_SmLu2Mn
_chemical_formula_sum 'Sm1 Lu2 Mn1'
_space_group_name_H-M_alt 'P 1'
_space_group_IT_number 1
_cell_length_a 3.4128
_cell_length_b 3.4128
_cell_length_c 8.8919
_cell_angle_alpha 90.00
_cell_angle_beta 90.00
_cell_angle_gamma 90.00
loop_
_space_group_symop_operation_xyz
'x,y,z'
loop_
_atom_site_label
_atom_site_type_symbol
_atom_site_fract_x
_atom_site_fract_y
_atom_site_fract_z
_atom_site_occupancy
Mn1 Mn 0.5000 0.5000 0.0000 1
Lu1 Lu 0.0000 0.0000 0.8082 1
Lu2 Lu 0.0000 0.0000 0.1918 1
Sm1 Sm 0.5000 0.5000 0.5000 1
# - offset from the most stable computed form (kJ/mol of atoms) = 0.00
# - ΔH_f (0 K) (eV/f.u.) = 0.4
# - SG = P4/mmm

# SmLuMnZn, optimized geometry, DFT PBE-GGA
data_SmLuMnZn
_chemical_formula_sum 'Sm1 Lu1 Mn1 Zn1'
_space_group_name_H-M_alt 'P 1'
_space_group_IT_number 1
_cell_length_a 5.0118
_cell_length_b 5.0118
_cell_length_c 5.0118
_cell_angle_alpha 60.00
_cell_angle_beta 60.00
_cell_angle_gamma 60.00
loop_
_space_group_symop_operation_xyz
'x,y,z'
loop_
_atom_site_label
_atom_site_type_symbol
_atom_site_fract_x
_atom_site_fract_y
_atom_site_fract_z
_atom_site_occupancy
Mn1 Mn 0.5000 0.5000 0.5000 1
Zn1 Zn 0.0000 0.0000 0.0000 1
Lu1 Lu 0.7500 0.7500 0.7500 1
Sm1 Sm 0.2500 0.2500 0.2500 1
# - ΔH_f (0 K) (eV/f.u.) = -0.1
# - SG = F-43m

# Lu2MnSn, optimized geometry, DFT PBE-GGA
data_Lu2MnSn
_chemical_formula_sum 'Lu2 Mn1 Sn1'
_space_group_name_H-M_alt 'P 1'
_space_group_IT_number 1
_cell_length_a 3.5419
_cell_length_b 3.5419
_cell_length_c 7.3171
_cell_angle_alpha 90.00
_cell_angle_beta 90.00
_cell_angle_gamma 90.00
loop_
_space_group_symop_operation_xyz
'x,y,z'
loop_
_atom_site_label
_atom_site_type_symbol
_atom_site_fract_x
_atom_site_fract_y
_atom_site_fract_z
_atom_site_occupancy
Lu1 Lu 0.0000 0.0000 0.7731 1
Lu2 Lu 0.0000 0.0000 0.2269 1
Sn1 Sn 0.5000 0.5000 0.5000 1
Mn1 Mn 0.5000 0.5000 0.0000 1
# - offset from the most stable computed form (kJ/mol of atoms) = 0.00
# - ΔH_f (0 K) (eV/f.u.) = -1.0
# - SG = P4/mmm

# Lu2MnSn, optimized geometry, DFT PBE-GGA
data_Lu2MnSn
_chemical_formula_sum 'Lu2 Mn1 Sn1'
_space_group_name_H-M_alt 'P 1'
_space_group_IT_number 1
_cell_length_a 4.1505
_cell_length_b 4.6930
_cell_length_c 4.6930
_cell_angle_alpha 90.00
_cell_angle_beta 90.00
_cell_angle_gamma 90.00
loop_
_space_group_symop_operation_xyz
'x,y,z'
loop_
_atom_site_label
_atom_site_type_symbol
_atom_site_fract_x
_atom_site_fract_y
_atom_site_fract_z
_atom_site_occupancy
Lu1 Lu 0.0000 0.0000 0.5000 1
Lu2 Lu 0.0000 0.5000 0.0000 1
Sn1 Sn 0.5000 0.0000 0.0000 1
Mn1 Mn 0.5000 0.5000 0.5000 1
# - offset from the most stable computed form (kJ/mol of atoms) = 1.18
# - ΔH_f (0 K) (eV/f.u.) = -0.9
# - SG = P4/mmm

# LuMnSn2, optimized geometry, DFT PBE-GGA
data_LuMnSn2
_chemical_formula_sum 'Lu1 Mn1 Sn2'
_space_group_name_H-M_alt 'P 1'
_space_group_IT_number 1
_cell_length_a 4.3213
_cell_length_b 4.5236
_cell_length_c 4.5236
_cell_angle_alpha 90.00
_cell_angle_beta 90.00
_cell_angle_gamma 90.00
loop_
_space_group_symop_operation_xyz
'x,y,z'
loop_
_atom_site_label
_atom_site_type_symbol
_atom_site_fract_x
_atom_site_fract_y
_atom_site_fract_z
_atom_site_occupancy
Lu1 Lu 0.5000 0.0000 0.0000 1
Sn1 Sn 0.0000 0.0000 0.5000 1
Sn2 Sn 0.0000 0.5000 0.0000 1
Mn1 Mn 0.5000 0.5000 0.5000 1
# - ΔH_f (0 K) (eV/f.u.) = -0.7
# - SG = P4/mmm